Compound: CaCr2IO8
Source: Alexandria
Functional: GGA+U
Structure: relaxed

Cell lengths 5.8361, 5.0894, 7.9749 Å; angles 87.84, 78.11, 66.32 degrees
Closest atoms and distances in Å follow each position.
Fractional positions:
Ca1 0.0000 0.0000 0.5000  6 O 2.33-2.45
Cr1 0.3091 0.3772 0.7268  4 O 1.64-1.78
Cr2 0.6909 0.6228 0.2732  4 O 1.64-1.78
I1 0.0000 0.0000 0.0000  4 O 2.11-2.17
O1 0.3806 0.7066 0.3172  1 Cr 1.65
O2 0.7736 0.7659 0.0799  1 Cr 1.74
O3 0.8645 0.2435 0.2442  1 Cr 1.78
O4 0.6194 0.2934 0.6828  1 Cr 1.65
O5 0.2264 0.2341 0.9201  1 Cr 1.74
O6 0.1355 0.7565 0.7558  1 Cr 1.78
O7 0.7905 0.7318 0.4239  1 Cr 1.64
O8 0.2095 0.2682 0.5761  1 Cr 1.64

Results
Density of states at the Fermi level   1.53 states/eV/f.u.
Space-group type   P-1, No. 2
Raw total energy   -6.173 eV/atom